BBrF: relaxed, PBE-GGA.

```
data_BBrF
_chemical_formula_sum 'B2 Br2 F2'
_cell_length_a 4.0166
_cell_length_b 5.7167
_cell_length_c 6.3499
_cell_angle_alpha 82.37
_cell_angle_beta 73.38
_cell_angle_gamma 82.97
_space_group_name_H-M_alt 'P -1'
_space_group_IT_number 2
loop_
_space_group_symop_operation_xyz
'x,y,z'
'-x,-y,-z'
loop_
_atom_site_label
_atom_site_type_symbol
_atom_site_fract_x
_atom_site_fract_y
_atom_site_fract_z
B1 B 0.1744 0.0808 0.4405
Br1 Br 0.3797 0.1632 0.7039
F1 F 0.1679 0.2756 0.2973
```

Calculated values
The total moment comes out at 0.0 μB per formula unit. The calculation puts the formation energy from raw total energies at -1.31 eV per atom. Its density of states at the Fermi level is 0.00 states/eV/f.u. The energy above the most stable polymorph in this dataset is 0.014 eV/atom.

LaY2Cl: relaxed, PBE-GGA.

```
data_LaY2Cl
_chemical_formula_sum 'La2 Y4 Cl2'
_cell_length_a 3.6836
_cell_length_b 6.1591
_cell_length_c 10.5152
_cell_angle_alpha 90.00
_cell_angle_beta 90.00
_cell_angle_gamma 90.00
_space_group_name_H-M_alt 'C m m m'
_space_group_IT_number 65
_space_group_name_Hall '-C 2 2'
loop_
_atom_site_label
_atom_site_type_symbol
_atom_site_fract_x
_atom_site_fract_y
_atom_site_fract_z
La1 La 0.0000 0.0000 0.0000
Y1 Y 0.0000 0.5000 0.2824
Cl1 Cl 0.0000 0.0000 0.5000
```

Calculated values
The total moment comes out at 0.0 μB per formula unit. The calculation puts the formation energy from raw total energies at -0.53 eV per atom. Its density of states at the Fermi level is 5.77 states/eV/f.u. The energy above the most stable polymorph in this dataset is 0.139 eV/atom.

AcPmHo: relaxed, PBE-GGA.

```
data_AcPmHo
_chemical_formula_sum 'Ac4 Pm4 Ho4'
_cell_length_a 6.0042
_cell_length_b 19.3913
_cell_length_c 3.7891
_cell_angle_alpha 90.00
_cell_angle_beta 90.00
_cell_angle_gamma 90.00
_space_group_name_H-M_alt 'A m a 2'
_space_group_IT_number 40
loop_
_space_group_symop_operation_xyz
'x,y,z'
'-x,-y,z'
'-x+1/2,y,z'
'x+1/2,-y,z'
'x,y+1/2,z+1/2'
'-x,-y+1/2,z+1/2'
'-x+1/2,y+1/2,z+1/2'
'x+1/2,-y+1/2,z+1/2'
loop_
_atom_site_label
_atom_site_type_symbol
_atom_site_fract_x
_atom_site_fract_y
_atom_site_fract_z
Ac1 Ac 0.2500 0.2190 0.0000
Pm1 Pm 0.2500 0.0519 0.5000
Ho1 Ho 0.2500 0.3946 0.4990
```

Calculated values
The total moment comes out at 0.0 μB per formula unit. Its density of states at the Fermi level is 4.77 states/eV/f.u. The formation energy from the elements comes out at 0.18 eV/f.u. The energy above the most stable polymorph in this dataset is 0.010 eV/atom.